First-principles (PBE) data for a geometry-optimized Er2BH structure, as listed in Alexandria.

Properties
- SG = R-3m (166)
- uncorrected energy (eV/atom) = -4.990
- spin magnetization (μB/cell) = 0.00
- crystal system = trigonal
- DOS(E_F) (states/eV/f.u.) = 3.74
- calculated volume (A^3/atom) = 17.0

Structure (POSCAR):
```
Er2BH
1.0
3.763 0.000 0.000
-1.882 3.259 0.000
0.000 0.000 16.662
Er B H
6 3 3
direct
0.000 0.000 0.247
0.000 0.000 0.753
0.333 0.667 0.420
0.333 0.667 0.914
0.667 0.333 0.086
0.667 0.333 0.580
0.000 0.000 0.500
0.333 0.667 0.167
0.667 0.333 0.833
0.000 0.000 0.000
0.333 0.667 0.667
0.667 0.333 0.333
```